Model w:
LiLa2CdCo after structural relaxation. Source: the Alexandria database, functional GGA-PBE.

Computed properties:
M_tot: 0.0 μB per cell

a b c (Å): 5.178 5.178 5.045
angles (deg): 90.00 90.00 90.00
Fractional coordinates of all 5 atoms:
1 Li 0.000 0.000 0.000
2 La 0.000 0.500 0.500
3 La 0.500 0.000 0.500
4 Cd 0.500 0.500 0.000
5 Co 0.000 0.000 0.500

Model x:
LiLa2CdCo after structural relaxation. Source: the Alexandria database, functional GGA-PBE.

Computed properties:
M_tot: 0.0 μB per cell

a b c (Å): 5.228 5.228 5.174
angles (deg): 90.00 90.00 90.00
Fractional coordinates of all 5 atoms:
1 Li 0.000 0.000 0.000
2 La 0.000 0.500 0.500
3 La 0.500 0.000 0.500
4 Cd 0.500 0.500 0.000
5 Co 0.500 0.500 0.500

Which one sits at the bottom of the stability order? model w does.

Model w:
LaMg2CdCo after structural relaxation. Source: the Alexandria database, functional GGA-PBE.

Computed properties:
M_tot: 0.6 μB per cell

a b c (Å): 4.842 4.842 5.049
angles (deg): 90.00 90.00 90.00
Fractional coordinates of all 5 atoms:
1 La 0.000 0.000 0.000
2 Mg 0.000 0.500 0.500
3 Mg 0.500 0.000 0.500
4 Cd 0.500 0.500 0.000
5 Co 0.500 0.500 0.500

Model x:
LaMg2CdCo after structural relaxation. Source: the Alexandria database, functional GGA-PBE.

Computed properties:
M_tot: 0.0 μB per cell

a b c (Å): 5.049 5.049 4.953
angles (deg): 90.00 90.00 90.00
Fractional coordinates of all 5 atoms:
1 La 0.000 0.000 0.000
2 Mg 0.000 0.500 0.500
3 Mg 0.500 0.000 0.500
4 Cd 0.500 0.500 0.000
5 Co 0.000 0.000 0.500

Which one sits at the bottom of the stability order? model w does.

Model w:
La2CdCoPb after structural relaxation. Source: the Alexandria database, functional GGA-PBE.

Computed properties:
M_tot: 0.0 μB per cell

a b c (Å): 5.211 5.211 5.093
angles (deg): 90.00 90.00 90.00
Fractional coordinates of all 5 atoms:
1 La 0.000 0.500 0.000
2 La 0.500 0.000 0.000
3 Cd 0.000 0.000 0.500
4 Co 0.000 0.000 0.000
5 Pb 0.500 0.500 0.500

Model x:
La2CdCoPb after structural relaxation. Source: the Alexandria database, functional GGA-PBE.

Computed properties:
M_tot: 0.0 μB per cell

a b c (Å): 5.317 5.317 5.020
angles (deg): 90.00 90.00 90.00
Fractional coordinates of all 5 atoms:
1 La 0.000 0.500 0.000
2 La 0.500 0.000 0.000
3 Cd 0.000 0.000 0.500
4 Co 0.500 0.500 0.000
5 Pb 0.500 0.500 0.500

Which one sits at the bottom of the stability order? model x does.

Model w:
SrLa2CdCo after structural relaxation. Source: the Alexandria database, functional GGA-PBE.

Computed properties:
M_tot: 0.0 μB per cell

a b c (Å): 5.229 5.229 5.981
angles (deg): 90.00 90.00 90.00
Fractional coordinates of all 5 atoms:
1 Sr 0.000 0.000 0.000
2 La 0.000 0.500 0.500
3 La 0.500 0.000 0.500
4 Cd 0.500 0.500 0.000
5 Co 0.000 0.000 0.500

Model x:
SrLa2CdCo after structural relaxation. Source: the Alexandria database, functional GGA-PBE.

Computed properties:
M_tot: 0.0 μB per cell

a b c (Å): 5.351 5.351 5.421
angles (deg): 90.00 90.00 90.00
Fractional coordinates of all 5 atoms:
1 Sr 0.000 0.000 0.000
2 La 0.000 0.500 0.500
3 La 0.500 0.000 0.500
4 Cd 0.500 0.500 0.000
5 Co 0.500 0.500 0.500

Which one sits at the bottom of the stability order? model w does.

Model w:
Li2CdCo2 after structural relaxation. Source: the Alexandria database, functional GGA-PBE.

Computed properties:
M_tot: 5.2 μB per cell

a b c (Å): 4.458 4.458 7.595
angles (deg): 90.00 90.00 90.00
Fractional coordinates of all 10 atoms:
1 Li 0.000 0.500 0.250
2 Li 0.000 0.500 0.750
3 Li 0.500 0.000 0.250
4 Li 0.500 0.000 0.750
5 Cd 0.000 0.000 0.000
6 Cd 0.500 0.500 0.500
7 Co 0.000 0.000 0.360
8 Co 0.000 0.000 0.640
9 Co 0.500 0.500 0.140
10 Co 0.500 0.500 0.860

Model x:
Li2CdCo2 after structural relaxation. Source: the Alexandria database, functional GGA-PBE.

Computed properties:
M_tot: 5.9 μB per cell

a b c (Å): 7.231 7.231 2.703
angles (deg): 90.00 90.00 90.00
Fractional coordinates of all 10 atoms:
1 Li 0.184 0.316 0.000
2 Li 0.316 0.816 0.000
3 Li 0.684 0.184 0.000
4 Li 0.816 0.684 0.000
5 Cd 0.000 0.000 0.500
6 Cd 0.500 0.500 0.500
7 Co 0.107 0.607 0.500
8 Co 0.393 0.107 0.500
9 Co 0.607 0.893 0.500
10 Co 0.893 0.393 0.500

Which one sits at the bottom of the stability order? model w does.

Model w:
LiMg2CdCo after structural relaxation. Source: the Alexandria database, functional GGA-PBE.

Computed properties:
M_tot: 0.0 μB per cell

a b c (Å): 4.793 4.793 4.989
angles (deg): 90.00 90.00 90.00
Fractional coordinates of all 5 atoms:
1 Li 0.000 0.000 0.000
2 Mg 0.000 0.500 0.500
3 Mg 0.500 0.000 0.500
4 Cd 0.500 0.500 0.000
5 Co 0.500 0.500 0.500

Model x:
LiMg2CdCo after structural relaxation. Source: the Alexandria database, functional GGA-PBE.

Computed properties:
M_tot: 1.9 μB per cell

a b c (Å): 4.712 4.712 4.574
angles (deg): 90.00 90.00 90.00
Fractional coordinates of all 5 atoms:
1 Li 0.000 0.000 0.000
2 Mg 0.000 0.500 0.000
3 Mg 0.500 0.000 0.000
4 Cd 0.000 0.000 0.500
5 Co 0.500 0.500 0.500

Which one sits at the bottom of the stability order? model x does.